# Ti3Pd (PBE, optimized geometry)
data_Ti3Pd
_symmetry_space_group_name_H-M 'I 4/m m m'
_symmetry_Int_Tables_number 139
_symmetry_space_group_name_Hall '-I 4 2'
_cell_length_a 3.826
_cell_length_b 3.826
_cell_length_c 8.945
_cell_angle_alpha 90.00
_cell_angle_beta 90.00
_cell_angle_gamma 90.00
loop_
_atom_site_label
_atom_site_fract_x
_atom_site_fract_y
_atom_site_fract_z
_atom_site_occupancy
Ti1 0.000 0.000 0.000 1
Ti2 0.000 0.500 0.250 1
Pd1 0.000 0.000 0.500 1
# Formation energy from the elements, eV per atom: -0.23
# DOS at the Fermi energy, states/eV per cell: 15.07
# Total moment, μB per cell: 0.0
# Electronic total energy, eV/atom: -7.45